The following is a DFT calculation (GGA-PBE) of a relaxed structure of SrInTe.

As for the raw formation energy: -1.87 eV per formula unit.

The space group is F-43m (No. 216) and the conventional cell measures 7.801, 7.801 and 7.801 Å, with angles of 90.00, 90.00 and 90.00 degrees. Symmetry generates all atoms from Sr at (0.000, 0.000, 0.000), In at (0.000, 0.000, 0.500) and Te at (0.250, 0.250, 0.250).